No. 1
A plane-wave DFT calculation with PBE with a Hubbard U was carried out for an optimized crystal structure of Li3V2F9.

Results
E_tot = -5.529 eV/atom

Unit cell a=5.667 b=5.667 c=7.450 alpha=96.21 beta=96.21 gamma=55.58
Fractional positions:
Li  0.000  0.000  0.000
Li  0.579  0.141  0.536
Li  0.859  0.421  0.464
V  0.367  0.353  0.155
V  0.647  0.633  0.845
F  0.045  0.442  0.961
F  0.183  0.755  0.190
F  0.199  0.307  0.359
F  0.245  0.817  0.810
F  0.558  0.955  0.039
F  0.637  0.363  0.000
F  0.681  0.245  0.333
F  0.693  0.801  0.641
F  0.755  0.319  0.667



No. 2
A plane-wave DFT calculation with PBE with a Hubbard U was carried out for an optimized crystal structure of LiVF5.

Results
E_tot = -5.417 eV/atom

Unit cell a=6.485 b=6.485 c=4.692 alpha=90.00 beta=90.00 gamma=90.00
Fractional positions:
Li  0.250  0.750  0.000
Li  0.750  0.250  0.000
V  0.250  0.250  0.338
V  0.750  0.750  0.662
F  0.018  0.686  0.768
F  0.186  0.982  0.232
F  0.250  0.250  0.712
F  0.314  0.518  0.232
F  0.482  0.814  0.768
F  0.518  0.186  0.232
F  0.686  0.482  0.768
F  0.750  0.750  0.288
F  0.814  0.018  0.768
F  0.982  0.314  0.232



No. 3
A plane-wave DFT calculation with PBE with a Hubbard U was carried out for an optimized crystal structure of Li4VF8.

Results
E_tot = -5.144 eV/atom

Unit cell a=5.171 b=6.043 c=5.317 alpha=90.00 beta=111.82 gamma=90.00
Fractional positions:
Li  0.000  0.000  0.000
Li  0.000  0.206  0.500
Li  0.000  0.756  0.500
Li  0.500  0.820  0.000
V  0.000  0.487  0.000
F  0.194  0.499  0.759
F  0.194  0.975  0.759
F  0.219  0.269  0.226
F  0.241  0.712  0.208
F  0.759  0.712  0.792
F  0.781  0.269  0.774
F  0.806  0.499  0.241
F  0.806  0.975  0.241



No. 4
A plane-wave DFT calculation with PBE with a Hubbard U was carried out for an optimized crystal structure of LiVF5.

Results
E_tot = -5.466 eV/atom

Unit cell a=5.584 b=5.681 c=7.412 alpha=102.38 beta=105.18 gamma=103.48
Fractional positions:
Li  0.170  0.346  0.225
Li  0.830  0.654  0.775
V  0.500  0.000  0.000
V  0.500  0.000  0.500
F  0.169  0.784  0.956
F  0.257  0.686  0.373
F  0.265  0.163  0.406
F  0.383  0.011  0.729
F  0.400  0.279  0.080
F  0.600  0.721  0.920
F  0.617  0.989  0.271
F  0.735  0.837  0.594
F  0.743  0.314  0.627
F  0.831  0.216  0.044



No. 5
A plane-wave DFT calculation with PBE with a Hubbard U was carried out for an optimized crystal structure of LiVF3.

Results
E_tot = -5.108 eV/atom

Unit cell a=3.687 b=3.687 c=3.687 alpha=90.00 beta=90.00 gamma=90.00
Fractional positions:
Li  0.000  0.000  0.000
V  0.500  0.500  0.500
F  0.000  0.000  0.500
F  0.000  0.500  0.000
F  0.500  0.000  0.000



No. 6
A plane-wave DFT calculation with PBE with a Hubbard U was carried out for an optimized crystal structure of LiV2F5.

Results
E_tot = -5.951 eV/atom

Unit cell a=5.520 b=5.520 c=10.403 alpha=90.00 beta=90.00 gamma=135.55
Fractional positions:
Li  0.178  0.822  0.750
Li  0.822  0.178  0.250
V  0.144  0.856  0.064
V  0.144  0.856  0.436
V  0.856  0.144  0.564
V  0.856  0.144  0.936
F  0.054  0.946  0.617
F  0.054  0.946  0.883
F  0.234  0.766  0.250
F  0.322  0.678  0.555
F  0.322  0.678  0.945
F  0.678  0.322  0.055
F  0.678  0.322  0.445
F  0.766  0.234  0.750
F  0.946  0.054  0.117
F  0.946  0.054  0.383



No. 7
A plane-wave DFT calculation with PBE with a Hubbard U was carried out for an optimized crystal structure of Li2VF4.

Results
E_tot = -5.488 eV/atom

Unit cell a=5.109 b=9.705 c=3.232 alpha=90.00 beta=90.00 gamma=90.00
Fractional positions:
Li  0.012  0.184  0.000
Li  0.488  0.684  0.000
Li  0.512  0.316  0.000
Li  0.988  0.816  0.000
V  0.000  0.500  0.500
V  0.500  0.000  0.500
F  0.151  0.378  0.000
F  0.175  0.131  0.500
F  0.325  0.631  0.500
F  0.349  0.878  0.000
F  0.651  0.122  0.000
F  0.675  0.369  0.500
F  0.825  0.869  0.500
F  0.849  0.622  0.000



No. 8
A plane-wave DFT calculation with PBE with a Hubbard U was carried out for an optimized crystal structure of LiV3F10.

Results
E_tot = -5.887 eV/atom

Unit cell a=3.975 b=6.104 c=14.995 alpha=90.00 beta=90.26 gamma=90.00
Fractional positions:
Li  0.000  0.000  0.000
Li  0.000  0.000  0.500
V  0.000  0.008  0.250
V  0.000  0.992  0.750
V  0.009  0.450  0.887
V  0.009  0.550  0.387
V  0.991  0.450  0.613
V  0.991  0.550  0.113
F  0.000  0.348  0.750
F  0.000  0.652  0.250
F  0.024  0.112  0.622
F  0.024  0.888  0.122
F  0.073  0.316  0.013
F  0.073  0.684  0.513
F  0.084  0.268  0.329
F  0.084  0.732  0.829
F  0.489  0.434  0.615
F  0.489  0.566  0.115
F  0.500  0.014  0.750
F  0.500  0.986  0.250
F  0.511  0.434  0.885
F  0.511  0.566  0.385
F  0.916  0.268  0.171
F  0.916  0.732  0.671
F  0.927  0.316  0.487
F  0.927  0.684  0.987
F  0.976  0.112  0.878
F  0.976  0.888  0.378



Calculated values (μB per cell) of M_tot for the records, taken in order: 4.0 2.0 1.0 2.0 3.0 12.0 6.0 12.0.
Calculated values (states/eV/cell) of Fermi-level density of states for the records, taken in order: 0.0 0.0 0.0 0.0 4.9 0.0 0.0 0.0.